Here is a geometry-optimized Li2Mg6Cd structure from Alexandria via LeMat-Bulk. Energies are from PBE.

a b c (Å): 3.1694 3.1694 22.8889
angles (deg): 90.00 90.00 120.00
Space group P-6m2 (No. 187)
Symmetry-distinct sites (fractional):
Li (0.0000, 0.0000, 0.1710) [2 per cell]
Mg (0.0000, 0.0000, 0.3904) [2 per cell]
Mg (0.6667, 0.3333, 0.0661) [2 per cell]
Mg (0.6667, 0.3333, 0.2762) [2 per cell]
Cd (0.6667, 0.3333, 0.5000) [1 per cell]

Results
Its total magnetization is 0.00 μB/f.u. The formation energy is -11.4 meV/atom.

Here is a geometry-optimized LiNdErFe structure from Alexandria via LeMat-Bulk. Energies are from PBE.

a b c (Å): 6.9715 6.9715 6.9715
angles (deg): 90.00 90.00 90.00
Space group F-43m (No. 216)
Symmetry-distinct sites (fractional):
Li (0.0000, 0.0000, 0.0000) [4 per cell]
Nd (0.2500, 0.2500, 0.2500) [4 per cell]
Er (0.2500, 0.2500, 0.7500) [4 per cell]
Fe (0.0000, 0.0000, 0.5000) [4 per cell]

Results
Its total magnetization is 0.68 μB/f.u. The formation energy is 128.0 meV/atom.

Number 1: DFT total energy -1.60 eV per atom. Number 2: DFT total energy -4.80 eV per atom.